No. 1
Crystalline Ca5Ac3Sn2 at its relaxed geometry, computed with PBE-GGA.

a = 7.192 Å, b = 11.282 Å, c = 11.282 Å
α = 68.67°, β = 71.41°, γ = 71.41°
Fractional coordinates of all 20 atoms:
Ac 0.250 0.000 0.000
Ca 0.250 0.500 0.500
Ca 0.445 0.305 0.305
Ac 0.825 0.967 0.383
Sn 0.826 0.262 0.085
Ca 0.555 0.695 0.695
Ac 0.750 0.000 0.000
Sn 0.674 0.915 0.738
Ca 0.945 0.305 0.305
Ac 0.675 0.617 0.033
Ac 0.175 0.033 0.617
Sn 0.326 0.085 0.262
Ca 0.055 0.695 0.695
Ca 0.557 0.210 0.675
Ca 0.443 0.790 0.325
Ca 0.750 0.500 0.500
Ca 0.943 0.325 0.790
Ac 0.325 0.383 0.967
Ca 0.057 0.675 0.210
Sn 0.174 0.738 0.915

Output
Density in g cm⁻³: 4.72
Crystal system: orthorhombic
Energy of formation from the pure elements in eV per atom: -0.197
SG: No. 72

No. 2
Crystalline Ca3AcSn2 at its relaxed geometry, computed with PBE-GGA.

a = 4.994 Å, b = 9.902 Å, c = 10.193 Å
α = 121.06°, β = 90.00°, γ = 104.61°
Last column: magnetic moment on the atom in μB.
Fractional coordinates of all 12 atoms:
Ac 0.127 0.253 0.126  0.06
Ca 0.999 0.997 0.664  0.01
Ca 0.001 0.003 0.336  0.01
Ca 0.669 0.338 0.861  0.02
Sn 0.792 0.585 0.293  -0.01
Sn 0.208 0.415 0.707  -0.01
Ac 0.873 0.747 0.874  0.06
Sn 0.500 0.000 0.853  0.00
Ca 0.331 0.662 0.139  0.02
Ca 0.670 0.340 0.476  0.02
Sn 0.500 0.000 0.147  0.00
Ca 0.330 0.660 0.524  0.02

Output
Density in g cm⁻³: 4.71
Crystal system: monoclinic
Energy of formation from the pure elements in eV per atom: -0.542
SG: No. 12

No. 3
Crystalline CaAcSn at its relaxed geometry, computed with PBE-GGA.

a = 5.498 Å, b = 5.498 Å, c = 5.498 Å
α = 60.00°, β = 60.00°, γ = 60.00°
Fractional coordinates of all 3 atoms:
Ca 0.000 0.000 0.000
Sn 0.250 0.250 0.250
Ac 0.500 0.500 0.500

Output
Density in g cm⁻³: 5.45
Crystal system: cubic
Energy of formation from the pure elements in eV per atom: -0.487
SG: No. 216

No. 4
Crystalline CaAc3Sn5 at its relaxed geometry, computed with PBE-GGA.

a = 6.855 Å, b = 9.944 Å, c = 9.944 Å
α = 120.00°, β = 90.00°, γ = 90.00°
Fractional coordinates of all 18 atoms:
Ac 0.750 0.378 0.000
Ca 0.500 0.000 0.000
Sn 0.250 0.000 0.288
Ac 0.750 0.622 0.622
Sn 0.500 0.333 0.667
Ac 0.250 0.378 0.378
Sn 0.750 0.288 0.288
Ac 0.250 0.000 0.622
Sn 0.250 0.288 0.000
Sn 0.000 0.333 0.667
Ca 0.000 0.000 0.000
Ac 0.750 0.000 0.378
Sn 0.000 0.667 0.333
Sn 0.750 0.000 0.712
Sn 0.250 0.712 0.712
Sn 0.750 0.712 0.000
Sn 0.500 0.667 0.333
Ac 0.250 0.622 0.000

Output
Density in g cm⁻³: 7.44
Crystal system: hexagonal
Energy of formation from the pure elements in eV per atom: -0.579
SG: No. 193

No. 5
Crystalline CaAcSn at its relaxed geometry, computed with PBE-GGA.

a = 5.120 Å, b = 5.120 Å, c = 11.392 Å
α = 77.01°, β = 77.01°, γ = 60.00°
Fractional coordinates of all 6 atoms:
Ac 0.063 0.063 0.812
Sn 0.445 0.445 0.664
Sn 0.555 0.555 0.336
Ac 0.937 0.937 0.188
Ca 0.811 0.811 0.568
Ca 0.189 0.189 0.432

Output
Density in g cm⁻³: 5.13
Crystal system: trigonal
Energy of formation from the pure elements in eV per atom: -0.270
SG: No. 166

No. 6
Crystalline CaAc12Sn6 at its relaxed geometry, computed with PBE-GGA.

a = 9.971 Å, b = 9.971 Å, c = 9.971 Å
α = 110.63°, β = 110.63°, γ = 110.63°
Fractional coordinates of all 19 atoms:
Sn 0.652 0.922 0.417
Ac 0.274 0.907 0.812
Ac 0.644 0.516 0.806
Ac 0.516 0.806 0.644
Sn 0.348 0.078 0.583
Sn 0.583 0.348 0.078
Ca 0.000 0.000 0.000
Sn 0.417 0.652 0.922
Ac 0.812 0.274 0.907
Ac 0.093 0.188 0.726
Sn 0.078 0.583 0.348
Ac 0.726 0.093 0.188
Ac 0.356 0.484 0.194
Ac 0.194 0.356 0.484
Ac 0.806 0.644 0.516
Ac 0.907 0.812 0.274
Ac 0.188 0.726 0.093
Ac 0.484 0.194 0.356
Sn 0.922 0.417 0.652

Output
Density in g cm⁻³: 7.92
Crystal system: trigonal
Energy of formation from the pure elements in eV per atom: -0.315
SG: No. 148

No. 7
Crystalline CaAc8Sn6 at its relaxed geometry, computed with PBE-GGA.

a = 9.925 Å, b = 9.925 Å, c = 9.015 Å
α = 56.60°, β = 56.60°, γ = 60.00°
Fractional coordinates of all 15 atoms:
Ac 0.569 0.229 0.303
Ac 0.898 0.569 0.303
Sn 0.067 0.736 0.796
Sn 0.933 0.264 0.204
Ac 0.666 0.666 0.003
Sn 0.400 0.067 0.796
Ca 0.000 0.000 0.000
Sn 0.736 0.400 0.796
Sn 0.264 0.600 0.204
Sn 0.600 0.933 0.204
Ac 0.334 0.334 0.997
Ac 0.229 0.898 0.303
Ac 0.431 0.771 0.697
Ac 0.771 0.102 0.697
Ac 0.102 0.431 0.697

Output
Density in g cm⁻³: 7.18
Crystal system: trigonal
Energy of formation from the pure elements in eV per atom: -0.547
SG: No. 148

No. 8
Crystalline Ca4AcSn4 at its relaxed geometry, computed with PBE-GGA.

a = 6.369 Å, b = 10.232 Å, c = 10.232 Å
α = 90.00°, β = 90.00°, γ = 90.00°
Fractional coordinates of all 18 atoms:
Ca 0.119 0.840 0.394
Ca 0.881 0.394 0.160
Sn 0.120 0.139 0.288
Sn 0.880 0.712 0.139
Ac 0.500 0.500 0.500
Ca 0.381 0.340 0.894
Ac 0.000 0.000 0.000
Ca 0.881 0.606 0.840
Ca 0.619 0.106 0.340
Sn 0.880 0.288 0.861
Ca 0.381 0.660 0.106
Sn 0.120 0.861 0.712
Sn 0.380 0.639 0.788
Sn 0.620 0.212 0.639
Sn 0.380 0.361 0.212
Ca 0.119 0.160 0.606
Sn 0.620 0.788 0.361
Ca 0.619 0.894 0.660

Output
Density in g cm⁻³: 4.29
Crystal system: tetragonal
Energy of formation from the pure elements in eV per atom: -0.456
SG: No. 86

No. 9
Crystalline CaAcSn2 at its relaxed geometry, computed with PBE-GGA.

a = 4.933 Å, b = 4.468 Å, c = 6.530 Å
α = 90.00°, β = 112.16°, γ = 90.00°
Fractional coordinates of all 4 atoms:
Ac 0.721 0.000 0.981
Sn 0.164 0.500 0.869
Sn 0.998 0.000 0.533
Ca 0.448 0.500 0.435

Output
Density in g cm⁻³: 6.29
Crystal system: orthorhombic
Energy of formation from the pure elements in eV per atom: -0.671
SG: No. 38

No. 10
Crystalline CaAc2Sn at its relaxed geometry, computed with PBE-GGA.

a = 5.920 Å, b = 5.920 Å, c = 5.920 Å
α = 60.00°, β = 60.00°, γ = 60.00°
Fractional coordinates of all 4 atoms:
Ac 0.750 0.750 0.750
Ca 0.000 0.000 0.000
Sn 0.500 0.500 0.500
Ac 0.250 0.250 0.250

Output
Density in g cm⁻³: 6.93
Crystal system: cubic
Energy of formation from the pure elements in eV per atom: -0.227
SG: No. 225

No. 11
Crystalline CaAc2Sn2 at its relaxed geometry, computed with PBE-GGA.

a = 4.971 Å, b = 8.444 Å, c = 8.444 Å
α = 90.00°, β = 90.00°, γ = 90.00°
Fractional coordinates of all 10 atoms:
Sn 0.000 0.123 0.377
Ac 0.500 0.324 0.176
Ca 0.000 0.000 0.000
Sn 0.000 0.877 0.623
Ac 0.500 0.824 0.324
Ac 0.500 0.676 0.824
Sn 0.000 0.623 0.123
Ca 0.000 0.500 0.500
Ac 0.500 0.176 0.676
Sn 0.000 0.377 0.877

Output
Density in g cm⁻³: 6.85
Crystal system: tetragonal
Energy of formation from the pure elements in eV per atom: -0.721
SG: No. 127

No. 12
Crystalline CaAcSn at its relaxed geometry, computed with PBE-GGA.

a = 4.423 Å, b = 5.292 Å, c = 5.292 Å
α = 120.00°, β = 90.00°, γ = 90.00°
Last column: magnetic moment on the atom in μB.
Fractional coordinates of all 3 atoms:
Sn 0.501 0.667 0.333  0.00
Ac 0.000 0.000 0.000  0.11
Ca 0.500 0.333 0.667  0.06

Output
Density in g cm⁻³: 5.97
Crystal system: hexagonal
Energy of formation from the pure elements in eV per atom: -0.421
SG: No. 187